Record 1
Material: Pm2Th2CoRh2
Method: DFT, GGA-PBE
State: relaxed

Geometry as POSCAR:
```
Pm2Th2CoRh2
1.0
6.969 -2.001 0.000
6.969 2.001 0.000
-3.464 0.000 6.408
Pm Th Co Rh
2 2 1 2
direct
0.022 0.022 0.257
0.978 0.978 0.743
0.286 0.286 0.246
0.714 0.714 0.754
0.500 0.500 0.500
0.369 0.369 0.935
0.631 0.631 0.065
```

Computed properties:
The density of states at the Fermi level is 5.3 states/eV/f.u. As for the energy of formation: -11.11 kcal/mol of atoms. The value obtained for the total magnetization is 0.00 μB per cell.

Record 2
Material: PmTmCoRh
Method: DFT, GGA-PBE
State: relaxed

Geometry as POSCAR:
```
PmTmCoRh
1.0
0.000 3.414 3.414
3.414 0.000 3.414
3.414 3.414 0.000
Pm Tm Co Rh
1 1 1 1
direct
0.000 0.000 0.000
0.500 0.500 0.500
0.250 0.250 0.250
0.750 0.750 0.750
```

Computed properties:
The density of states at the Fermi level is 1.5 states/eV/f.u. As for the energy of formation: -10.06 kcal/mol of atoms. The value obtained for the total magnetization is 0.60 μB per cell.

Record 3
Material: PmZnCoRh
Method: DFT, GGA-PBE
State: relaxed

Geometry as POSCAR:
```
PmZnCoRh
1.0
0.000 3.226 3.226
3.226 0.000 3.226
3.226 3.226 0.000
Pm Zn Co Rh
1 1 1 1
direct
0.000 0.000 0.000
0.500 0.500 0.500
0.250 0.250 0.250
0.750 0.750 0.750
```

Computed properties:
The density of states at the Fermi level is 3.7 states/eV/f.u. As for the energy of formation: -4.32 kcal/mol of atoms. The value obtained for the total magnetization is 0.00 μB per cell.

Record 4
Material: PmCoRu
Method: DFT, GGA-PBE
State: relaxed

Geometry as POSCAR:
```
PmCoRu
1.0
-2.605 2.640 3.789
2.605 -2.640 3.789
2.605 2.640 -3.789
Pm Co Ru
2 2 2
direct
0.373 0.123 0.250
0.627 0.877 0.750
0.000 0.500 0.500
0.500 0.500 0.000
0.000 0.000 0.500
0.000 0.500 0.000
```

Computed properties:
The density of states at the Fermi level is 4.2 states/eV/f.u. For the energy above the most stable polymorph in this dataset, the calculation gives 0.000 eV per atom. As for the energy of formation: -3.13 kcal/mol of atoms. The value obtained for the total magnetization is 2.01 μB per cell.

Record 5
Material: Pm2CoRu
Method: DFT, GGA-PBE
State: relaxed

Geometry as POSCAR:
```
Pm2CoRu
1.0
5.670 0.000 0.000
0.000 4.090 0.000
-2.495 0.000 7.884
Pm Co Ru
4 2 2
direct
0.217 0.250 0.424
0.280 0.750 0.070
0.720 0.250 0.930
0.783 0.750 0.576
0.335 0.750 0.719
0.665 0.250 0.281
0.168 0.250 0.775
0.832 0.750 0.225
```

Computed properties:
The density of states at the Fermi level is 4.1 states/eV/f.u. As for the energy of formation: -3.27 kcal/mol of atoms. The value obtained for the total magnetization is 1.63 μB per cell.

Record 6
Material: Pm3CoRu
Method: DFT, GGA-PBE
State: relaxed

Geometry as POSCAR:
```
Pm3CoRu
1.0
8.180 0.000 0.000
0.000 6.369 0.000
-4.151 0.000 9.323
Pm Co Ru
12 4 4
direct
0.141 0.003 0.300
0.141 0.497 0.800
0.284 0.006 0.012
0.284 0.494 0.512
0.322 0.518 0.177
0.322 0.982 0.677
0.678 0.018 0.323
0.678 0.482 0.823
0.716 0.506 0.488
0.716 0.994 0.988
0.859 0.503 0.200
0.859 0.997 0.700
0.478 0.670 0.961
0.478 0.830 0.461
0.522 0.170 0.539
0.522 0.330 0.039
0.000 0.238 0.507
0.000 0.262 0.007
0.000 0.738 0.993
0.000 0.762 0.493
```

Computed properties:
The density of states at the Fermi level is 4.2 states/eV/f.u. For the energy above the most stable polymorph in this dataset, the calculation gives 0.047 eV per atom. As for the energy of formation: -2.71 kcal/mol of atoms. The value obtained for the total magnetization is 0.01 μB per cell.

Record 7
Material: Pm4Co3Ru
Method: DFT, GGA-PBE
State: relaxed

Geometry as POSCAR:
```
Pm4Co3Ru
1.0
4.015 0.000 0.000
0.000 4.183 0.000
0.000 0.000 10.583
Pm Co Ru
4 3 1
direct
0.000 0.000 0.000
0.000 0.500 0.496
0.500 0.000 0.709
0.500 0.500 0.210
0.000 0.000 0.301
0.500 0.000 0.401
0.500 0.500 0.918
0.000 0.500 0.796
```

Computed properties:
The density of states at the Fermi level is 8.3 states/eV/f.u. As for the energy of formation: -2.64 kcal/mol of atoms. The value obtained for the total magnetization is 1.49 μB per cell.

Record 8
Material: Pm8CoRu2
Method: DFT, GGA-PBE
State: relaxed

Geometry as POSCAR:
```
Pm8CoRu2
1.0
4.168 -6.388 0.000
4.168 6.388 0.000
-2.324 0.000 5.844
Pm Co Ru
8 1 2
direct
0.000 0.000 0.000
0.009 0.270 0.575
0.148 0.549 0.199
0.270 0.009 0.575
0.438 0.703 0.798
0.549 0.148 0.199
0.703 0.438 0.798
0.704 0.704 0.387
0.353 0.353 0.377
0.047 0.668 0.685
0.668 0.047 0.685
```

Computed properties:
The density of states at the Fermi level is 12.7 states/eV/f.u. For the energy above the most stable polymorph in this dataset, the calculation gives 0.032 eV per atom. As for the energy of formation: -1.35 kcal/mol of atoms. The value obtained for the total magnetization is 0.00 μB per cell.

Record 9
Material: Pm2CoRu3
Method: DFT, GGA-PBE
State: relaxed

Geometry as POSCAR:
```
Pm2CoRu3
1.0
2.669 1.541 4.374
-2.669 1.541 4.374
0.000 -3.082 4.374
Pm Co Ru
2 1 3
direct
0.124 0.124 0.124
0.876 0.876 0.876
0.500 0.500 0.500
0.000 0.500 0.500
0.500 0.000 0.500
0.500 0.500 0.000
```

Computed properties:
The density of states at the Fermi level is 6.3 states/eV/f.u. As for the energy of formation: -3.82 kcal/mol of atoms. The value obtained for the total magnetization is 0.73 μB per cell.

Record 10
Material: Pm2Co2Ru
Method: DFT, GGA-PBE
State: relaxed

Geometry as POSCAR:
```
Pm2Co2Ru
1.0
6.655 0.000 0.000
0.000 6.655 0.000
0.000 0.000 4.301
Pm Co Ru
4 4 2
direct
0.186 0.314 0.000
0.314 0.814 0.000
0.686 0.186 0.000
0.814 0.686 0.000
0.121 0.621 0.500
0.379 0.121 0.500
0.621 0.879 0.500
0.879 0.379 0.500
0.000 0.000 0.500
0.500 0.500 0.500
```

Computed properties:
The density of states at the Fermi level is 7.8 states/eV/f.u. As for the energy of formation: 0.79 kcal/mol of atoms. The value obtained for the total magnetization is 3.64 μB per cell.

Record 11
Material: Pm3CoRu
Method: DFT, GGA-PBE
State: relaxed

Geometry as POSCAR:
```
Pm3CoRu
1.0
7.891 0.000 0.000
0.000 4.095 0.000
-3.213 0.000 7.517
Pm Co Ru
6 2 2
direct
0.093 0.250 0.224
0.309 0.250 0.920
0.371 0.750 0.596
0.629 0.250 0.404
0.691 0.750 0.080
0.907 0.750 0.776
0.042 0.250 0.555
0.958 0.750 0.445
0.350 0.750 0.189
0.650 0.250 0.811
```

Computed properties:
The density of states at the Fermi level is 4.0 states/eV/f.u. For the energy above the most stable polymorph in this dataset, the calculation gives 0.000 eV per atom. As for the energy of formation: -3.81 kcal/mol of atoms. The value obtained for the total magnetization is 1.14 μB per cell.

Record 12
Material: Pm2CoRu2
Method: DFT, GGA-PBE
State: relaxed

Geometry as POSCAR:
```
Pm2CoRu2
1.0
-2.200 2.553 4.564
2.200 -2.553 4.564
2.200 2.553 -4.564
Pm Co Ru
2 1 2
direct
0.192 0.192 0.000
0.808 0.808 0.000
0.500 0.000 0.500
0.245 0.500 0.745
0.755 0.500 0.255
```

Computed properties:
The density of states at the Fermi level is 4.6 states/eV/f.u. As for the energy of formation: -2.98 kcal/mol of atoms. The value obtained for the total magnetization is 1.32 μB per cell.

> Which value of total magnetization does entry 10 give?

3.64 μB per cell